No. 1
This record from the Alexandria database describes Na2TaVO6 after structural relaxation. The functional is PBE+U.

extended XYZ file:
```
10
Lattice="4.067 0.000 0.000 0.000 5.429 0.000 0.000 0.000 5.429" Properties=species:S:1:pos:R:3 pbc="T T T"
O 0.747 0.000 0.000
O 2.731 4.111 1.317
Ta 2.572 2.714 2.714
O 2.731 1.317 1.317
O 0.660 2.714 2.714
Na 0.379 2.714 0.000
V 2.426 0.000 0.000
O 2.731 4.111 4.111
O 2.731 1.317 4.111
Na 0.379 0.000 2.714
```

Values from the calculation:
Electronic total energy   -7.417 eV per atom
Spin magnetization   0.0 Bohr magnetons per cell
SG   P4mm (99)



No. 2
This record from the Alexandria database describes Na3TaV2O9 after structural relaxation. The functional is PBE+U.

extended XYZ file:
```
15
Lattice="-1.013 -2.406 4.765 5.046 0.021 -2.015 1.238 5.737 3.160" Properties=species:S:1:pos:R:3 pbc="T T T"
O 2.017 -1.193 1.375
O 0.856 1.873 5.736
Na 0.000 0.000 0.000
O 2.523 0.011 -1.007
Ta 0.619 2.869 1.580
O 1.954 1.469 1.157
O 3.317 1.883 4.754
O 1.350 3.047 3.412
O -0.506 -1.203 2.383
V 3.225 0.134 0.753
V 2.046 3.218 5.157
Na 1.409 0.269 3.533
Na 3.862 3.083 2.377
O 4.415 1.479 0.175
O 3.921 0.306 2.499
```

Values from the calculation:
Electronic total energy   -7.107 eV per atom
Spin magnetization   0.0 Bohr magnetons per cell
SG   P-3m1 (164)



No. 3
This record from the Alexandria database describes NaTaVO4 after structural relaxation. The functional is PBE+U.

extended XYZ file:
```
14
Lattice="5.647 0.000 -0.293 0.000 5.748 0.000 -2.435 0.000 6.875" Properties=species:S:1:pos:R:3 pbc="T T T"
O 1.092 1.437 5.465
V -0.160 1.437 3.623
O 1.355 4.311 3.866
O 2.120 4.311 1.117
Na -0.102 4.311 5.729
O 1.857 1.437 2.716
Ta 0.558 4.311 2.184
Ta 2.654 1.437 4.398
Na 3.314 1.437 0.853
O -0.688 5.727 2.121
O 3.900 2.853 4.461
V 3.372 4.311 2.959
O -0.688 2.896 2.121
O 3.900 0.021 4.461
```

Values from the calculation:
Electronic total energy   -7.899 eV per atom
Spin magnetization   6.0 Bohr magnetons per cell
SG   P2_1/m (11)